{"formula": "Cd2WAu", "functional": "PBE", "state": "relaxed", "e_above_lowest_polymorph_mev_per_atom": 373, "e_form_ev_per_atom": 0.67, "crystal_system": "cubic", "lattice_angstrom": [[6.725, 0.000, 0.000], [0.000, 6.725, 0.000], [0.000, 0.000, 6.725]], "species": ["Cd", "Cd", "Cd", "Cd", "Cd", "Cd", "Cd", "Cd", "W", "W", "W", "W", "Au", "Au", "Au", "Au"], "frac_coords": [[0.000, 0.000, 0.000], [0.000, 0.500, 0.500], [0.250, 0.250, 0.250], [0.250, 0.750, 0.750], [0.500, 0.000, 0.500], [0.500, 0.500, 0.000], [0.750, 0.250, 0.750], [0.750, 0.750, 0.250], [0.000, 0.000, 0.500], [0.000, 0.500, 0.000], [0.500, 0.000, 0.000], [0.500, 0.500, 0.500], [0.250, 0.250, 0.750], [0.250, 0.750, 0.250], [0.750, 0.250, 0.250], [0.750, 0.750, 0.750]]}